Crystalline KNaSb2As at its relaxed geometry. Source: the Alexandria database, functional PBE.

The uncorrected formation energy comes out at 0.928 eV per atom. For the total DFT energy (no corrections), the calculation gives -0.157 Ry/atom. Its magnetic moment is 0.000 μB per atom. The density of states at the Fermi level is 1.331 states/eV per atom.

The structure belongs to space group P4/mmm (No. 123); the cell edges are 5.920, 5.920 and 5.657 Å and the angles 90.00°, 90.00° and 90.00°. The distinct sites, in fractional coordinates, are K at (0.000, 0.000, 0.000), Na at (0.500, 0.500, 0.500), Sb at (0.000, 0.500, 0.000) and As at (0.000, 0.000, 0.500).

Crystalline K2LaAgCl6 at its relaxed geometry. Source: the Alexandria database, functional PBE.

The uncorrected formation energy comes out at -1.782 eV per atom. For the total DFT energy (no corrections), the calculation gives -0.286 Ry/atom. Its magnetic moment is 0.000 μB per atom. The density of states at the Fermi level is 0.000 states/eV per atom.

The structure belongs to space group Fm-3m (No. 225); the cell edges are 10.970, 10.970 and 10.970 Å and the angles 90.00°, 90.00° and 90.00°. The distinct sites, in fractional coordinates, are K at (0.250, 0.250, 0.250), La at (0.000, 0.000, 0.000), Ag at (0.000, 0.000, 0.500) and Cl at (0.000, 0.000, 0.251).

Crystalline LiSi2 at its relaxed geometry. Source: the Alexandria database, functional PBE.

The uncorrected formation energy comes out at -0.017 eV per atom. For the total DFT energy (no corrections), the calculation gives -0.314 Ry/atom. Its magnetic moment is 0.000 μB per atom. The density of states at the Fermi level is 0.080 states/eV per atom.

The structure belongs to space group Fd-3m (No. 227, origin choice 2); the cell edges are 7.177, 7.177 and 7.177 Å and the angles 90.00°, 90.00° and 90.00°. The distinct sites, in fractional coordinates, are Li at (0.125, 0.125, 0.125) and Si at (0.000, 0.000, 0.500).

> Which formula does entry 2 have?

K2LaAgCl6